! RuBrO2F meta-GGA SCAN PBEsol geometry; values from VASP
! **DFT total energy**: -14.5450 eV/atom
! **Total magnetic moment**: 0.00 μB per cell
! **Raw formation energy**: -0.49 eV per atom
&SYSTEM
  ibrav = 0, nat = 5, ntyp = 4
/
ATOMIC_SPECIES
Ru 101.07 Ru.upf
Br 79.90 Br.upf
O 16.00 O.upf
F 19.00 F.upf
CELL_PARAMETERS angstrom
3.820 0.000 0.000
0.000 3.820 0.000
0.000 0.000 4.131
ATOMIC_POSITIONS crystal
Ru 0.000 0.000 0.000
Br 0.500 0.500 0.500
O 0.000 0.500 0.000
O 0.500 0.000 0.000
F 0.000 0.000 0.500


! SbBrO2F meta-GGA SCAN PBEsol geometry; values from VASP
! **DFT total energy**: -14.3257 eV/atom
! **Total magnetic moment**: 0.00 μB per cell
! **Raw formation energy**: 0.22 eV per atom
&SYSTEM
  ibrav = 0, nat = 5, ntyp = 4
/
ATOMIC_SPECIES
Sb 121.76 Sb.upf
Br 79.90 Br.upf
O 16.00 O.upf
F 19.00 F.upf
CELL_PARAMETERS angstrom
3.825 0.000 0.000
0.000 3.825 0.000
0.000 0.000 5.283
ATOMIC_POSITIONS crystal
Sb 0.000 0.000 0.000
Br 0.500 0.500 0.500
O 0.000 0.500 0.500
O 0.500 0.000 0.500
F 0.500 0.500 0.000


! SeBrO2F meta-GGA SCAN PBEsol geometry; values from VASP
! **DFT total energy**: -11.1189 eV/atom
! **Total magnetic moment**: 1.96 μB per cell
! **Raw formation energy**: -0.01 eV per atom
&SYSTEM
  ibrav = 0, nat = 5, ntyp = 4
/
ATOMIC_SPECIES
Se 78.96 Se.upf
Br 79.90 Br.upf
O 16.00 O.upf
F 19.00 F.upf
CELL_PARAMETERS angstrom
3.955 0.000 0.000
0.000 3.955 0.000
0.000 0.000 4.227
ATOMIC_POSITIONS crystal
Se 0.000 0.000 0.000
Br 0.500 0.500 0.500
O 0.000 0.500 0.000
O 0.500 0.000 0.000
F 0.000 0.000 0.500